Entry 1:
Entry from Alexandria: crystalline LiTl2F8 at its relaxed geometry (PBE).

Summary:
Space-group type: C2/m, No. 12
Offset from the most stable computed form, meV/atom: 9
E_form (uncorrected), meV per atom: -1799
Spin magnetization, μB per formula unit: 0.00

The structure in POSCAR format:
```
LiTl2F8
1.0
5.593 -3.443 0.000
5.593 3.443 0.000
-0.257 0.000 4.218
Li Tl F
1 2 8
Direct
0.000 0.000 0.000
0.308 0.308 0.005
0.692 0.692 0.995
0.055 0.676 0.014
0.259 0.259 0.498
0.324 0.945 0.986
0.498 0.498 0.738
0.502 0.502 0.262
0.676 0.055 0.014
0.741 0.741 0.502
0.945 0.324 0.986
```

Entry 2:
Entry from Alexandria: crystalline K4PuS4 at its relaxed geometry (PBE).

Summary:
Space-group type: I-42m, No. 121
E_form (uncorrected), meV per atom: -1132
Spin magnetization, μB per formula unit: 4.00

The structure in POSCAR format:
```
K4PuS4
1.0
-3.807 3.807 6.542
3.807 -3.807 6.542
3.807 3.807 -6.542
K Pu S
4 1 4
Direct
0.000 0.500 0.500
0.203 0.203 0.000
0.500 0.000 0.500
0.797 0.797 0.000
0.500 0.500 0.000
0.192 0.587 0.000
0.413 0.413 0.605
0.587 0.192 0.000
0.808 0.808 0.395
```

Entry 3:
Entry from Alexandria: crystalline Cs2Y2Ir at its relaxed geometry (PBE).

Summary:
Space-group type: I4/mmm, No. 139
Offset from the most stable computed form, meV/atom: 0
ΔE_f, eV per atom: 1.22
Spin magnetization, μB per formula unit: 1.54

The structure in POSCAR format:
```
Cs2Y2Ir
1.0
-2.214 2.214 12.366
2.214 -2.214 12.366
2.214 2.214 -12.366
Cs Y Ir
2 2 1
Direct
0.078 0.078 0.000
0.922 0.922 0.000
0.250 0.750 0.500
0.750 0.250 0.500
0.500 0.500 0.000
```

Entry 4:
Entry from Alexandria: crystalline ZrTaSi2 at its relaxed geometry (PBE).

Summary:
Space-group type: Amm2, No. 38
Offset from the most stable computed form, meV/atom: 0
E_form (uncorrected), meV per atom: -654
Spin magnetization, μB per formula unit: 0.00

The structure in POSCAR format:
```
ZrTaSi2
1.0
3.768 0.000 0.000
0.000 1.809 4.823
0.000 -1.809 4.823
Zr Ta Si
1 1 2
Direct
0.000 0.000 0.000
0.500 0.290 0.290
0.000 0.725 0.725
0.500 0.569 0.569
```

Entry 5:
Entry from Alexandria: crystalline LaPr6ErTm2 at its relaxed geometry (PBE).

Summary:
Space-group type: C2/c, No. 15
ΔE_f, eV per atom: 0.11
Spin magnetization, μB per formula unit: 0.00

The structure in POSCAR format:
```
LaPr6ErTm2
1.0
4.675 -7.681 0.000
4.675 7.681 0.000
-1.420 0.000 9.707
La Pr Er Tm
2 12 2 4
Direct
0.094 0.906 0.750
0.906 0.094 0.250
0.010 0.796 0.380
0.066 0.515 0.184
0.204 0.990 0.120
0.262 0.608 0.555
0.392 0.738 0.945
0.485 0.934 0.316
0.515 0.066 0.684
0.608 0.262 0.055
0.738 0.392 0.445
0.796 0.010 0.880
0.934 0.485 0.816
0.990 0.204 0.620
0.469 0.531 0.250
0.531 0.469 0.750
0.212 0.306 0.953
0.306 0.212 0.453
0.694 0.788 0.547
0.788 0.694 0.047
```

Entry 6:
Entry from Alexandria: crystalline Ca2InW at its relaxed geometry (PBE).

Summary:
Space-group type: Pm, No. 6
ΔE_f, eV per atom: 0.52
Spin magnetization, μB per formula unit: 0.00

The structure in POSCAR format:
```
Ca2InW
1.0
3.041 0.000 0.000
0.000 5.204 0.000
-0.028 0.000 6.059
Ca In W
2 1 1
Direct
0.000 0.000 0.000
0.009 0.500 0.674
0.504 0.500 0.213
0.504 0.000 0.478
```